# 1
! Sc4TlC2 (PBE-GGA, optimized geometry); values from VASP
&SYSTEM
  ibrav = 0, nat = 7, ntyp = 3
/
ATOMIC_SPECIES
Sc 44.96 Sc.upf
Tl 204.38 Tl.upf
C 12.01 C.upf
CELL_PARAMETERS angstrom
1.680 0.970 13.333
-1.680 0.970 13.333
0.000 -1.940 13.333
ATOMIC_POSITIONS angstrom
Sc 0.000 0.000 5.022
Sc 0.000 0.000 10.752
Sc 0.000 0.000 29.246
Sc 0.000 0.000 34.977
Tl 0.000 0.000 0.000
C 0.000 0.000 17.172
C 0.000 0.000 22.827
! Density (Mg/m³): 5.20
! ΔE_f (eV per atom): -0.4728
! Distance to the lowest polymorph of the same formula (meV/atom): 0
! Crystal system: trigonal


# 2
! ScTl2C (PBE-GGA, optimized geometry); values from VASP
&SYSTEM
  ibrav = 0, nat = 4, ntyp = 3
/
ATOMIC_SPECIES
Sc 44.96 Sc.upf
Tl 204.38 Tl.upf
C 12.01 C.upf
CELL_PARAMETERS angstrom
0.000 3.477 3.477
3.477 0.000 3.477
3.477 3.477 0.000
ATOMIC_POSITIONS angstrom
Sc 0.000 0.000 0.000
Tl 1.738 1.738 1.738
Tl 5.215 5.215 5.215
C 3.477 3.477 3.477
! Density (Mg/m³): 9.20
! ΔE_f (eV per atom): 1.2220
! Distance to the lowest polymorph of the same formula (meV/atom): 609
! Crystal system: cubic


Which value of ΔE_f does entry 1 give? -0.4728 eV per atom


Look up the distance to the lowest polymorph of the same formula of the first one. 0 meV/atom


Among the records above, which one has the lowest distance to the lowest polymorph of the same formula? Sc4TlC2